First-principles (PBE) data for Ba2LiTlHg after structural relaxation, as listed in Alexandria via LeMat-Bulk.

The structure in POSCAR format:
```
Ba2LiTlHg
1.0
6.580 0.000 0.000
0.000 6.580 0.000
0.000 0.000 4.935
Tl Li Hg Ba
1 1 1 2
Direct
0.500 0.500 0.500
0.000 0.000 0.500
0.000 0.000 0.000
0.000 0.500 0.000
0.500 0.000 0.000
```

Computed properties:
As for the total energy: -1.834 eV/atom.

First-principles (PBE) data for Ba3Li2Tl2Hg4 after structural relaxation, as listed in Alexandria via LeMat-Bulk.

The structure in POSCAR format:
```
Ba3Li2Tl2Hg4
1.0
-3.187 2.382 3.444
3.586 -3.461 1.691
10.138 11.279 1.582
Ba Li Tl Hg
3 2 2 4
Direct
0.000 0.000 0.720
0.000 0.000 0.000
0.000 0.000 0.280
0.667 0.333 0.437
0.333 0.667 0.563
0.667 0.333 0.858
0.333 0.667 0.142
0.667 0.333 0.137
0.333 0.667 0.863
0.667 0.333 0.611
0.333 0.667 0.389
```

Computed properties:
As for the total energy: -1.747 eV/atom.

First-principles (PBE) data for Ba2LiTl2Hg4 after structural relaxation, as listed in Alexandria via LeMat-Bulk.

The structure in POSCAR format:
```
Ba2LiTl2Hg4
1.0
-3.747 5.926 1.476
-0.972 -2.820 -6.514
-1.759 -5.867 3.717
Ba Li Tl Hg
2 1 2 4
Direct
0.500 0.750 0.250
0.500 0.250 0.750
0.000 0.000 0.000
0.000 0.697 0.697
0.000 0.303 0.303
0.000 0.746 0.254
0.492 0.746 0.746
0.000 0.254 0.746
0.508 0.254 0.254
```

Computed properties:
As for the total energy: -1.656 eV/atom.

First-principles (PBE) data for BaLi2TlHg2 after structural relaxation, as listed in Alexandria via LeMat-Bulk.

The structure in POSCAR format:
```
BaLi2TlHg2
1.0
-4.150 2.501 -0.303
-0.079 -4.853 -0.088
-0.655 -0.132 7.885
Ba Li Tl Hg
1 2 1 2
Direct
0.000 0.000 0.000
0.333 0.667 0.637
0.667 0.333 0.363
0.000 0.000 0.500
0.333 0.667 0.278
0.667 0.333 0.722
```

Computed properties:
As for the total energy: -1.829 eV/atom.

First-principles (PBE) data for BaLiHg2W after structural relaxation, as listed in Alexandria via LeMat-Bulk.

The structure in POSCAR format:
```
BaLiHg2W
1.0
4.986 0.000 0.000
0.000 5.607 0.000
0.000 0.000 4.986
Li Hg W Ba
1 2 1 1
Direct
0.000 0.000 0.000
0.000 0.000 0.500
0.500 0.000 0.000
0.500 0.500 0.500
0.000 0.500 0.000
```

Computed properties:
As for the total energy: -2.419 eV/atom.

First-principles (PBE) data for BaLiYHg after structural relaxation, as listed in Alexandria via LeMat-Bulk.

The structure in POSCAR format:
```
BaLiYHg
1.0
5.614 0.000 0.000
2.807 4.862 0.000
2.807 1.621 4.584
Y Li Hg Ba
1 1 1 1
Direct
0.750 0.750 0.750
0.000 0.000 0.000
0.500 0.500 0.500
0.250 0.250 0.250
```

Computed properties:
As for the total energy: -2.751 eV/atom.

First-principles (PBE) data for BaLi2ZnHg after structural relaxation, as listed in Alexandria via LeMat-Bulk.

The structure in POSCAR format:
```
BaLi2ZnHg
1.0
-0.971 4.065 -3.116
-3.195 -2.959 -2.866
-3.918 1.346 2.977
Zn Li Hg Ba
1 2 1 1
Direct
0.000 0.000 0.500
0.000 0.500 0.000
0.500 0.000 0.000
0.000 0.000 0.000
0.500 0.500 0.500
```

Computed properties:
As for the total energy: -1.585 eV/atom.

First-principles (PBE) data for Ba2LiZnHg after structural relaxation, as listed in Alexandria via LeMat-Bulk.

The structure in POSCAR format:
```
Ba2LiZnHg
1.0
6.360 0.000 0.000
0.000 6.360 0.000
0.000 0.000 4.864
Zn Li Hg Ba
1 1 1 2
Direct
0.000 0.000 0.000
0.000 0.000 0.500
0.500 0.500 0.500
0.000 0.500 0.000
0.500 0.000 0.000
```

Computed properties:
As for the total energy: -1.563 eV/atom.

First-principles (PBE) data for Ba2LiZnHg6 after structural relaxation, as listed in Alexandria via LeMat-Bulk.

The structure in POSCAR format:
```
Ba2LiZnHg6
1.0
-0.947 -4.689 5.737
7.387 -0.087 1.106
2.780 1.696 6.689
Ba Li Zn Hg
2 1 1 6
Direct
0.250 0.750 0.500
0.750 0.250 0.500
0.500 0.500 0.000
0.000 0.000 0.000
0.256 0.744 0.000
0.744 0.744 0.000
0.256 0.256 0.489
0.744 0.256 0.000
0.256 0.256 0.000
0.744 0.744 0.511
```

Computed properties:
As for the total energy: -1.196 eV/atom.

First-principles (PBE) data for BaLi2ZnHg after structural relaxation, as listed in Alexandria via LeMat-Bulk.

The structure in POSCAR format:
```
BaLi2ZnHg
1.0
-4.140 2.870 1.182
-0.844 -2.938 4.175
2.966 3.125 2.799
Zn Li Hg Ba
1 2 1 1
Direct
0.000 0.000 0.000
0.000 0.500 0.000
0.500 0.000 0.000
0.000 0.000 0.500
0.500 0.500 0.500
```

Computed properties:
As for the total energy: -1.581 eV/atom.

First-principles (PBE) data for BaLi2ZrHg after structural relaxation, as listed in Alexandria via LeMat-Bulk.

The structure in POSCAR format:
```
BaLi2ZrHg
1.0
-3.480 3.723 -1.045
-1.761 -2.893 -4.439
-3.501 -2.437 2.978
Li Hg Zr Ba
2 1 1 1
Direct
0.000 0.000 0.500
0.500 0.000 0.000
0.000 0.000 0.000
0.000 0.500 0.000
0.500 0.500 0.500
```

Computed properties:
As for the total energy: -2.684 eV/atom.

First-principles (PBE) data for BaLuMgHg after structural relaxation, as listed in Alexandria via LeMat-Bulk.

The structure in POSCAR format:
```
BaLuMgHg
1.0
-1.722 0.942 -5.254
1.398 -3.572 -4.092
-3.911 -3.296 -2.303
Mg Lu Hg Ba
1 1 1 1
Direct
0.000 0.000 0.000
0.750 0.750 0.750
0.500 0.500 0.500
0.250 0.250 0.250
```

Computed properties:
As for the total energy: -2.188 eV/atom.

First-principles (PBE) data for BaLuHgPb after structural relaxation, as listed in Alexandria via LeMat-Bulk.

The structure in POSCAR format:
```
BaLuHgPb
1.0
5.648 0.000 0.000
2.824 4.891 0.000
2.824 1.630 4.612
Pb Lu Hg Ba
1 1 1 1
Direct
0.500 0.500 0.500
0.750 0.750 0.750
0.000 0.000 0.000
0.250 0.250 0.250
```

Computed properties:
As for the total energy: -2.955 eV/atom.